The following is a DFT calculation (PBE) of a relaxed structure of ScRe.

a b c (Å): 2.9456 2.9456 4.6217
angles (deg): 90.00 90.00 120.00
With the nearest neighbours (Å) after each atom.
Fractional coordinates of all 2 atoms:
1 Re 0.0000 0.0000 0.0000  6 Sc 2.87, 6 Re 2.95
2 Sc 0.3333 0.6667 0.5000  6 Re 2.87, 6 Sc 2.95

As for the theoretical density: 11.1 Mg/m³. The density of states at the Fermi level is 2.4 states/eV/cell. The symmetry is P-6m2 (187). As for the energy of formation from the pure elements: 0.270 eV/atom. The calculation puts the total energy at -9.1197 eV/atom.

The following is a DFT calculation (PBE) of a relaxed structure of Sc4Re3.

a b c (Å): 14.6045 14.6045 14.6045
angles (deg): 167.74 167.74 17.38
With the nearest neighbours (Å) after each atom.
Fractional coordinates of all 7 atoms:
1 Sc 0.1599 0.1599 0.0000  4 Re 2.90, 4 Sc 3.12
2 Sc 0.4424 0.4424 0.0000  4 Re 2.76
3 Sc 0.5576 0.5576 0.0000  4 Re 2.76
4 Sc 0.8401 0.8401 0.0000  4 Re 2.90, 4 Sc 3.12
5 Re 0.0000 0.0000 0.0000  8 Sc 2.76
6 Re 0.2750 0.2750 0.0000  4 Re 2.64, 4 Sc 2.90
7 Re 0.7250 0.7250 0.0000  4 Re 2.64, 4 Sc 2.90

As for the theoretical density: 8.7 Mg/m³. The density of states at the Fermi level is 5.5 states/eV/cell. The symmetry is I4/mmm (139). As for the energy of formation from the pure elements: -0.081 eV/atom. For the offset from the most stable computed form, the calculation gives 0.037 eV per atom. The calculation puts the total energy at -9.0339 eV/atom.

The following is a DFT calculation (PBE) of a relaxed structure of ScRe.

a b c (Å): 2.9300 2.9300 9.3164
angles (deg): 90.00 90.00 120.00
With the nearest neighbours (Å) after each atom.
Fractional coordinates of all 4 atoms:
1 Re 0.3333 0.6667 0.2500  6 Sc 2.88, 6 Re 2.93
2 Re 0.6667 0.3333 0.7500  6 Sc 2.88, 6 Re 2.93
3 Sc 0.0000 0.0000 0.0000  6 Re 2.88, 6 Sc 2.93
4 Sc 0.0000 0.0000 0.5000  6 Re 2.88, 6 Sc 2.93

As for the theoretical density: 11.1 Mg/m³. The density of states at the Fermi level is 4.4 states/eV/cell. The symmetry is P6_3/mmc (194). As for the energy of formation from the pure elements: 0.264 eV/atom. The calculation puts the total energy at -9.1259 eV/atom.

The following is a DFT calculation (PBE) of a relaxed structure of Sc5Re.

a b c (Å): 4.7169 4.6786 6.3435
angles (deg): 111.64 90.00 90.00
With the nearest neighbours (Å) after each atom.
Fractional coordinates of all 6 atoms:
1 Sc 0.5000 0.8517 0.7034  2 Sc 2.92, 2 Re 2.94
2 Sc 0.0000 0.6460 0.2921  2 Re 2.90, 2 Sc 2.92
3 Sc 0.5000 0.5000 0.0000  8 Sc 2.92
4 Sc 0.0000 0.3540 0.7079  2 Re 2.90, 2 Sc 2.92
5 Sc 0.5000 0.1483 0.2966  2 Sc 2.92, 2 Re 2.94
6 Re 0.0000 0.0000 0.0000  8 Sc 2.90-2.94

As for the theoretical density: 5.2 Mg/m³. The density of states at the Fermi level is 6.9 states/eV/cell. The symmetry is Cmmm (65). As for the energy of formation from the pure elements: 0.024 eV/atom. For the offset from the most stable computed form, the calculation gives 0.062 eV per atom. The calculation puts the total energy at -7.3266 eV/atom.

The following is a DFT calculation (PBE) of a relaxed structure of Sc2Re.

a b c (Å): 5.8884 4.5078 8.6242
angles (deg): 90.00 90.00 90.00
With the nearest neighbours (Å) after each atom.
Fractional coordinates of all 12 atoms:
1 Sc 0.0519 0.2500 0.2131  3 Re 2.79-2.90, 5 Sc 3.01-3.08
2 Sc 0.1702 0.2500 0.5606  5 Re 2.83-3.05, 3 Sc 3.08
3 Sc 0.3298 0.7500 0.0606  5 Re 2.83-3.05, 3 Sc 3.08
4 Sc 0.4481 0.7500 0.7131  3 Re 2.79-2.90, 5 Sc 3.01-3.08
5 Sc 0.5519 0.2500 0.2869  3 Re 2.79-2.90, 5 Sc 3.01-3.08
6 Sc 0.6702 0.2500 0.9394  5 Re 2.83-3.05, 3 Sc 3.08
7 Sc 0.8298 0.7500 0.4394  5 Re 2.83-3.05, 3 Sc 3.08
8 Sc 0.9481 0.7500 0.7869  3 Re 2.79-2.90, 5 Sc 3.01-3.08
9 Re 0.1827 0.2500 0.8891  8 Sc 2.79-3.05
10 Re 0.3173 0.7500 0.3891  8 Sc 2.79-3.05
11 Re 0.6827 0.2500 0.6109  8 Sc 2.79-3.05
12 Re 0.8173 0.7500 0.1109  8 Sc 2.79-3.05

As for the theoretical density: 8.0 Mg/m³. The density of states at the Fermi level is 8.8 states/eV/cell. The symmetry is Pnma (62). As for the energy of formation from the pure elements: -0.051 eV/atom. The calculation puts the total energy at -8.4209 eV/atom.

The following is a DFT calculation (PBE) of a relaxed structure of ScRe.

a b c (Å): 4.2610 4.2610 4.2610
angles (deg): 60.00 60.00 60.00
With the nearest neighbours (Å) after each atom.
Fractional coordinates of all 2 atoms:
1 Re 0.0000 0.0000 0.0000  4 Sc 2.61
2 Sc 0.7500 0.7500 0.7500  4 Re 2.61

As for the theoretical density: 7.0 Mg/m³. The density of states at the Fermi level is 3.1 states/eV/cell. The symmetry is F-43m (216). As for the energy of formation from the pure elements: 2.430 eV/atom. The calculation puts the total energy at -6.9599 eV/atom.

Copy entry 6 word for word.
The following is a DFT calculation (PBE) of a relaxed structure of ScRe.

a b c (Å): 4.2610 4.2610 4.2610
angles (deg): 60.00 60.00 60.00
With the nearest neighbours (Å) after each atom.
Fractional coordinates of all 2 atoms:
1 Re 0.0000 0.0000 0.0000  4 Sc 2.61
2 Sc 0.7500 0.7500 0.7500  4 Re 2.61

As for the theoretical density: 7.0 Mg/m³. The density of states at the Fermi level is 3.1 states/eV/cell. The symmetry is F-43m (216). As for the energy of formation from the pure elements: 2.430 eV/atom. The calculation puts the total energy at -6.9599 eV/atom.